Entry from the Alexandria database: an optimized crystal structure of Ba2AlCu3O7 (PBE-GGA).

Cell lengths 3.6972, 3.8414, 11.8213 Å; angles 90.00, 90.00, 90.00 degrees
Element x y z (fractional)
1 Ba 0.0000 0.0000 0.3148
2 Ba 0.0000 0.0000 0.6852
3 Al 0.0000 0.0000 0.0000
4 Cu 0.5000 0.5000 0.1344
5 Cu 0.5000 0.5000 0.8656
6 Cu 0.5000 0.5000 0.5000
7 O 0.5000 0.0000 0.5000
8 O 0.0000 0.5000 0.1035
9 O 0.0000 0.5000 0.8965
10 O 0.5000 0.0000 0.1044
11 O 0.5000 0.0000 0.8956
12 O 0.5000 0.5000 0.3404
13 O 0.5000 0.5000 0.6596

Values from the calculation:
Space group = Pmmm (47)
DFT total energy = -5.678 eV per atom
Calculated volume = 12.91 Å³/atom
Uncorrected formation energy = -1479 meV/atom
Spin magnetization = 0.000 μB/atom